Computed, not measured: a relaxed Sr2Co2NO5 crystal at the GGA+U level of DFT.

a = 3.8648 Å, b = 3.8648 Å, c = 7.5048 Å
α = 90.00°, β = 90.00°, γ = 90.00°
Closest atoms and distances in Å follow each position.
Space group P4/mmm (No. 123)
Symmetry-distinct sites (fractional):
1 Sr 0.0000 0.0000 0.0000 (multiplicity 1)  8 O 2.67, 4 N 2.73
2 Sr 0.0000 0.0000 0.5000 (multiplicity 1)  12 O 2.72-2.73
3 Co 0.5000 0.5000 0.2417 (multiplicity 2)  1 N 1.81, 5 O 1.93-1.94
4 N 0.5000 0.5000 0.0000 (multiplicity 1)  2 Co 1.81
5 O 0.0000 0.5000 0.2457 (multiplicity 4)  2 Co 1.93
6 O 0.5000 0.5000 0.5000 (multiplicity 1)  2 Co 1.94

Calculated values
The calculated density is 5.73 g cm⁻³. As for the magnetic moment: 6.0 μB/cell. The total energy comes out at -58.79 eV/cell.